First-principles (PBE-GGA) data for an optimized crystal structure of AlSbSe2, as listed in Alexandria via LeMat-Bulk.

Properties
The value obtained for the energy relative to the lowest polymorph listed for this composition is 447 meV/atom. The value obtained for the density of states at the Fermi level is 3.77 states/eV/cell. For the uncorrected formation energy, the calculation gives -45 meV/atom. The space group is No. 35. Its magnetic moment is 0.00 μB/f.u. The electronic total energy is -3.75 eV/atom. The calculated density is 4.41 g/cm3.

abc: 3.672 6.726 9.342
angles: 90.00 90.00 90.00
Element x y z (fractional)
Al (0.000, 0.000, 0.000)
Al (0.500, 0.500, 0.000)
Sb (0.000, 0.500, 0.751)
Sb (0.500, 0.000, 0.751)
Se (0.000, 0.000, 0.546)
Se (0.000, 0.500, 0.156)
Se (0.500, 0.000, 0.156)
Se (0.500, 0.500, 0.546)


First-principles (PBE-GGA) data for an optimized crystal structure of Pm3Si4Ir2, as listed in Alexandria via LeMat-Bulk.

Properties
The value obtained for the energy relative to the lowest polymorph listed for this composition is 0 meV/atom. The value obtained for the density of states at the Fermi level is 3.93 states/eV/cell. For the uncorrected formation energy, the calculation gives -901 meV/atom. The space group is No. 12. Its magnetic moment is 0.00 μB/f.u. The electronic total energy is -6.86 eV/atom. The calculated density is 8.60 g/cm3.

abc: 5.982 5.982 8.161
angles: 108.02 108.02 40.75
Element x y z (fractional)
Pm (0.000, 0.000, 0.000)
Pm (0.390, 0.390, 0.306)
Pm (0.610, 0.610, 0.694)
Si (0.105, 0.105, 0.400)
Si (0.279, 0.279, 0.924)
Si (0.721, 0.721, 0.076)
Si (0.895, 0.895, 0.600)
Ir (0.306, 0.306, 0.641)
Ir (0.694, 0.694, 0.359)


First-principles (PBE-GGA) data for an optimized crystal structure of MgAsF2, as listed in Alexandria via LeMat-Bulk.

Properties
The value obtained for the energy relative to the lowest polymorph listed for this composition is 0 meV/atom. The value obtained for the density of states at the Fermi level is 2.74 states/eV/cell. For the uncorrected formation energy, the calculation gives -2318 meV/atom. The space group is No. 166. Its magnetic moment is 0.00 μB/f.u. The electronic total energy is -4.81 eV/atom. The calculated density is 3.09 g/cm3.

abc: 2.970 2.970 28.990
angles: 90.00 90.00 120.00
Element x y z (fractional)
Mg (0.000, 0.000, 0.000)
Mg (0.333, 0.667, 0.667)
Mg (0.667, 0.333, 0.333)
As (0.000, 0.000, 0.500)
As (0.333, 0.667, 0.167)
As (0.667, 0.333, 0.833)
F (0.000, 0.000, 0.368)
F (0.000, 0.000, 0.632)
F (0.333, 0.667, 0.034)
F (0.333, 0.667, 0.299)
F (0.667, 0.333, 0.701)
F (0.667, 0.333, 0.966)


First-principles (PBE-GGA) data for an optimized crystal structure of NaLa3Ir, as listed in Alexandria via LeMat-Bulk.

Properties
The value obtained for the energy relative to the lowest polymorph listed for this composition is 28 meV/atom. The value obtained for the density of states at the Fermi level is 12.75 states/eV/cell. The calculation puts the formation enthalpy at 0 K at -0.2961 eV/atom. The space group is No. 2. Its magnetic moment is 0.00 μB/f.u. The electronic total energy is -5.29 eV/atom. The calculated density is 6.08 g/cm3.

abc: 3.951 9.357 9.995
angles: 108.33 90.66 99.23
Element x y z (fractional)
Na (0.074, 0.042, 0.174)
Na (0.926, 0.958, 0.826)
La (0.165, 0.253, 0.652)
La (0.302, 0.633, 0.621)
La (0.318, 0.661, 0.982)
La (0.682, 0.339, 0.018)
La (0.698, 0.367, 0.379)
La (0.835, 0.747, 0.348)
Ir (0.254, 0.523, 0.225)
Ir (0.746, 0.477, 0.775)


First-principles (PBE-GGA) data for an optimized crystal structure of SrPrZnRuO6, as listed in Alexandria via LeMat-Bulk.

Properties
For the uncorrected formation energy, the calculation gives -2063 meV/atom. The space group is No. 7. Its magnetic moment is 3.00 μB/f.u. The electronic total energy is -6.74 eV/atom. The calculated density is 6.38 g/cm3.

abc: 5.603 5.750 9.707
angles: 90.00 125.22 90.00
Element x y z (fractional)
Sr (0.000, 0.208, 0.000)
Sr (0.000, 0.792, 0.500)
Pr (0.520, 0.308, 0.499)
Pr (0.520, 0.692, 0.999)
Zn (0.258, 0.240, 0.749)
Zn (0.258, 0.760, 0.249)
Ru (0.759, 0.247, 0.251)
Ru (0.759, 0.753, 0.751)
O (0.095, 0.232, 0.493)
O (0.095, 0.768, 0.993)
O (0.445, 0.276, 0.008)
O (0.445, 0.724, 0.508)
O (0.515, 0.056, 0.296)
O (0.515, 0.944, 0.796)
O (0.595, 0.477, 0.794)
O (0.595, 0.523, 0.294)
O (0.900, 0.040, 0.703)
O (0.900, 0.960, 0.203)
O (0.996, 0.457, 0.212)
O (0.996, 0.543, 0.712)


First-principles (PBE-GGA) data for an optimized crystal structure of La3CoSn, as listed in Alexandria via LeMat-Bulk.

Properties
The value obtained for the energy relative to the lowest polymorph listed for this composition is 114 meV/atom. The value obtained for the density of states at the Fermi level is 8.85 states/eV/cell. The calculation puts the formation enthalpy at 0 K at -0.3338 eV/atom. The space group is No. 11. Its magnetic moment is 0.00 μB/f.u. The electronic total energy is -5.51 eV/atom. The calculated density is 6.66 g/cm3.

abc: 3.903 10.131 7.497
angles: 90.00 90.14 90.00
Element x y z (fractional)
La (0.248, 0.250, 0.147)
La (0.250, 0.056, 0.753)
La (0.250, 0.444, 0.753)
La (0.750, 0.556, 0.247)
La (0.750, 0.944, 0.247)
La (0.752, 0.750, 0.853)
Co (0.252, 0.750, 0.146)
Co (0.748, 0.250, 0.854)
Sn (0.251, 0.750, 0.504)
Sn (0.749, 0.250, 0.496)


First-principles (PBE-GGA) data for an optimized crystal structure of TbSm2Cu, as listed in Alexandria via LeMat-Bulk.

Properties
The value obtained for the energy relative to the lowest polymorph listed for this composition is 127 meV/atom. The value obtained for the density of states at the Fermi level is 12.34 states/eV/cell. The calculation puts the formation enthalpy at 0 K at 0.0498 eV/atom. The space group is No. 166. Its magnetic moment is 0.00 μB/f.u. The electronic total energy is -4.49 eV/atom. The calculated density is 7.58 g/cm3.

abc: 3.626 3.626 30.207
angles: 90.00 90.00 120.00
Element x y z (fractional)
Tb (0.000, 0.000, 0.000)
Tb (0.333, 0.667, 0.667)
Tb (0.667, 0.333, 0.333)
Sm (0.000, 0.000, 0.236)
Sm (0.000, 0.000, 0.764)
Sm (0.333, 0.667, 0.431)
Sm (0.333, 0.667, 0.903)
Sm (0.667, 0.333, 0.097)
Sm (0.667, 0.333, 0.569)
Cu (0.000, 0.000, 0.500)
Cu (0.333, 0.667, 0.167)
Cu (0.667, 0.333, 0.833)


First-principles (PBE-GGA) data for an optimized crystal structure of Pm3Ge2Rh5, as listed in Alexandria via LeMat-Bulk.

Properties
The value obtained for the density of states at the Fermi level is 8.69 states/eV/cell. The calculation puts the formation enthalpy at 0 K at -0.7770 eV/atom. The space group is No. 127. Its magnetic moment is 0.00 μB/f.u. The electronic total energy is -6.80 eV/atom. The calculated density is 9.52 g/cm3.

abc: 10.125 10.125 3.725
angles: 90.00 90.00 90.00
Element x y z (fractional)
Pm (0.000, 0.000, 0.000)
Pm (0.174, 0.326, 0.000)
Pm (0.326, 0.826, 0.000)
Pm (0.500, 0.500, 0.000)
Pm (0.674, 0.174, 0.000)
Pm (0.826, 0.674, 0.000)
Ge (0.122, 0.622, 0.000)
Ge (0.378, 0.122, 0.000)
Ge (0.622, 0.878, 0.000)
Ge (0.878, 0.378, 0.000)
Rh (0.000, 0.500, 0.500)
Rh (0.070, 0.779, 0.500)
Rh (0.221, 0.070, 0.500)
Rh (0.279, 0.570, 0.500)
Rh (0.430, 0.279, 0.500)
Rh (0.500, 0.000, 0.500)
Rh (0.570, 0.721, 0.500)
Rh (0.721, 0.430, 0.500)
Rh (0.779, 0.930, 0.500)
Rh (0.930, 0.221, 0.500)